# Tl2HSeO4 PBE optimized geometry
# V: 15.0 Å³/atom
# Calculated total energy: -4.22 eV per atom
# Spin magnetization: 0.00 Bohr magnetons per cell
data_Tl2HSeO4
_chemical_formula_sum 'Tl8 H4 Se4 O16'
_symmetry_space_group_name_H-M 'C 1 2/c 1'
_symmetry_Int_Tables_number 15
_cell_length_a 7.4292
_cell_length_b 10.5265
_cell_length_c 6.6331
_cell_angle_alpha 90.00
_cell_angle_beta 112.53
_cell_angle_gamma 90.00
loop_
_symmetry_equiv_pos_as_xyz
'x,y,z'
'-x,-y,-z'
'-x,y,-z+1/2'
'x,-y,z+1/2'
'x+1/2,y+1/2,z'
'-x+1/2,-y+1/2,-z'
'-x+1/2,y+1/2,-z+1/2'
'x+1/2,-y+1/2,z+1/2'
loop_
_atom_site_label
_atom_site_type_symbol
_atom_site_fract_x
_atom_site_fract_y
_atom_site_fract_z
_atom_site_occupancy
Tl1 Tl 0.0000 0.0000 0.0000 1
Tl2 Tl 0.2500 0.2500 0.0000 1
H1 H 0.2500 0.2500 0.5000 1
Se1 Se 0.0000 0.5000 0.0000 1
O1 O 0.1135 0.2988 0.5517 1
O2 O 0.2177 0.0386 0.8401 1

***

# Tb12ZrSc7 PBE optimized geometry
# V: 29.4 Å³/atom
# Calculated total energy: -5.27 eV per atom
# Spin magnetization: 0.00 Bohr magnetons per cell
data_Tb12ZrSc7
_chemical_formula_sum 'Tb36 Zr3 Sc21'
_symmetry_space_group_name_H-M 'R -3'
_symmetry_Int_Tables_number 148
_symmetry_space_group_name_Hall '-R 3'
_cell_length_a 14.7663
_cell_length_b 14.7663
_cell_length_c 9.3500
_cell_angle_alpha 90.00
_cell_angle_beta 90.00
_cell_angle_gamma 120.00
loop_
_atom_site_label
_atom_site_type_symbol
_atom_site_fract_x
_atom_site_fract_y
_atom_site_fract_z
_atom_site_occupancy
Tb1 Tb 0.0244 0.2527 0.4000 1
Tb2 Tb 0.0757 0.5871 0.6283 1
Zr1 Zr 0.0000 0.0000 0.0000 1
Sc1 Sc 0.0000 0.0000 0.5000 1
Sc2 Sc 0.0038 0.1375 0.7330 1

***

# Ce4Pm3Os4 PBE optimized geometry
# V: 24.2 Å³/atom
# Calculated total energy: -7.66 eV per atom
# Spin magnetization: 0.00 Bohr magnetons per cell
data_Ce4Pm3Os4
_chemical_formula_sum 'Ce8 Pm6 Os8'
_symmetry_space_group_name_H-M 'I m m m'
_symmetry_Int_Tables_number 71
_symmetry_space_group_name_Hall '-I 2 2'
_cell_length_a 4.6955
_cell_length_b 7.5297
_cell_length_c 15.0334
_cell_angle_alpha 90.00
_cell_angle_beta 90.00
_cell_angle_gamma 90.00
loop_
_atom_site_label
_atom_site_type_symbol
_atom_site_fract_x
_atom_site_fract_y
_atom_site_fract_z
_atom_site_occupancy
Ce1 Ce 0.0000 0.2145 0.1647 1
Pm1 Pm 0.0000 0.0000 0.3955 1
Pm2 Pm 0.0000 0.5000 0.5000 1
Os1 Os 0.0000 0.3169 0.0000 1
Os2 Os 0.0000 0.5000 0.2863 1

***

# CrHg2I PBE optimized geometry
# Energy relative to the lowest polymorph listed for this composition: 86.2 meV/atom
# V: 27.5 Å³/atom
# Formation energy without anion corrections: 208 meV/atom
# Spin magnetization: 0.00 Bohr magnetons per cell
data_CrHg2I
_chemical_formula_sum 'Cr2 Hg4 I2'
_symmetry_space_group_name_H-M 'P -1'
_symmetry_Int_Tables_number 2
_cell_length_a 3.4943
_cell_length_b 6.9918
_cell_length_c 9.7524
_cell_angle_alpha 73.09
_cell_angle_beta 80.36
_cell_angle_gamma 75.85
loop_
_symmetry_equiv_pos_as_xyz
'x,y,z'
'-x,-y,-z'
loop_
_atom_site_label
_atom_site_type_symbol
_atom_site_fract_x
_atom_site_fract_y
_atom_site_fract_z
_atom_site_occupancy
Cr1 Cr 0.0681 0.3734 0.4857 1
Hg1 Hg 0.1096 0.7649 0.0076 1
Hg2 Hg 0.3441 0.5835 0.7473 1
I1 I 0.3878 0.8793 0.3437 1

***

# Ca8CuIr2 PBE optimized geometry
# V: 29.9 Å³/atom
# Calculated total energy: -3.64 eV per atom
# Spin magnetization: 0.00 Bohr magnetons per cell
data_Ca8CuIr2
_chemical_formula_sum 'Ca16 Cu2 Ir4'
_symmetry_space_group_name_H-M 'C 1 m 1'
_symmetry_Int_Tables_number 8
_cell_length_a 8.8973
_cell_length_b 13.0196
_cell_length_c 5.8996
_cell_angle_alpha 90.00
_cell_angle_beta 105.62
_cell_angle_gamma 90.00
loop_
_symmetry_equiv_pos_as_xyz
'x,y,z'
'x,-y,z'
'x+1/2,y+1/2,z'
'x+1/2,-y+1/2,z'
loop_
_atom_site_label
_atom_site_type_symbol
_atom_site_fract_x
_atom_site_fract_y
_atom_site_fract_z
_atom_site_occupancy
Ca1 Ca 0.0000 0.0000 0.0000 1
Ca2 Ca 0.0744 0.3647 0.7844 1
Ca3 Ca 0.1731 0.1360 0.6071 1
Ca4 Ca 0.2517 0.5000 0.4118 1
Ca5 Ca 0.3714 0.2336 0.2007 1
Cu1 Cu 0.3709 0.0000 0.3542 1
Ir1 Ir 0.3757 0.3145 0.7042 1

***

# Pm2PrGa2Pt7 PBE optimized geometry
# V: 20.1 Å³/atom
# Calculated total energy: -6.14 eV per atom
# Spin magnetization: 0.00 Bohr magnetons per cell
data_Pm2PrGa2Pt7
_chemical_formula_sum 'Pm4 Pr2 Ga4 Pt14'
_symmetry_space_group_name_H-M 'C 1 2/m 1'
_symmetry_Int_Tables_number 12
_cell_length_a 5.8771
_cell_length_b 5.8079
_cell_length_c 14.2742
_cell_angle_alpha 90.00
_cell_angle_beta 98.89
_cell_angle_gamma 90.00
loop_
_symmetry_equiv_pos_as_xyz
'x,y,z'
'-x,-y,-z'
'-x,y,-z'
'x,-y,z'
'x+1/2,y+1/2,z'
'-x+1/2,-y+1/2,-z'
'-x+1/2,y+1/2,-z'
'x+1/2,-y+1/2,z'
loop_
_atom_site_label
_atom_site_type_symbol
_atom_site_fract_x
_atom_site_fract_y
_atom_site_fract_z
_atom_site_occupancy
Pm1 Pm 0.1187 0.0000 0.3590 1
Pr1 Pr 0.0000 0.0000 0.0000 1
Ga1 Ga 0.0969 0.5000 0.2579 1
Pt1 Pt 0.0000 0.5000 0.0000 1
Pt2 Pt 0.1337 0.5000 0.4315 1
Pt3 Pt 0.1903 0.2502 0.8414 1

***

# Sm3Ga2Pd PBE optimized geometry
# V: 25.2 Å³/atom
# Calculated total energy: -4.87 eV per atom
# Spin magnetization: 0.00 Bohr magnetons per cell
data_Sm3Ga2Pd
_chemical_formula_sum 'Sm12 Ga8 Pd4'
_symmetry_space_group_name_H-M 'P n m a'
_symmetry_Int_Tables_number 62
_cell_length_a 12.0375
_cell_length_b 4.4566
_cell_length_c 11.2719
_cell_angle_alpha 90.00
_cell_angle_beta 90.00
_cell_angle_gamma 90.00
loop_
_symmetry_equiv_pos_as_xyz
'x,y,z'
'-x,-y,-z'
'-x+1/2,-y,z+1/2'
'x+1/2,y,-z+1/2'
'x+1/2,-y+1/2,-z+1/2'
'-x+1/2,y+1/2,z+1/2'
'-x,y+1/2,-z'
'x,-y+1/2,z'
loop_
_atom_site_label
_atom_site_type_symbol
_atom_site_fract_x
_atom_site_fract_y
_atom_site_fract_z
_atom_site_occupancy
Sm1 Sm 0.0485 0.2500 0.1237 1
Sm2 Sm 0.1209 0.7500 0.5605 1
Sm3 Sm 0.2239 0.2500 0.8032 1
Ga1 Ga 0.0135 0.7500 0.3042 1
Ga2 Ga 0.1918 0.7500 0.0110 1
Pd1 Pd 0.1233 0.2500 0.3779 1

***

# Nb8Os PBE optimized geometry
# V: 17.7 Å³/atom
# Calculated total energy: -10.33 eV per atom
# Spin magnetization: 0.00 Bohr magnetons per cell
data_Nb8Os
_chemical_formula_sum 'Nb16 Os2'
_symmetry_space_group_name_H-M 'I 4/m m m'
_symmetry_Int_Tables_number 139
_symmetry_space_group_name_Hall '-I 4 2'
_cell_length_a 9.8373
_cell_length_b 9.8373
_cell_length_c 3.2837
_cell_angle_alpha 90.00
_cell_angle_beta 90.00
_cell_angle_gamma 90.00
loop_
_atom_site_label
_atom_site_type_symbol
_atom_site_fract_x
_atom_site_fract_y
_atom_site_fract_z
_atom_site_occupancy
Nb1 Nb 0.0000 0.3312 0.0000 1
Nb2 Nb 0.1632 0.1632 0.5000 1
Os1 Os 0.0000 0.0000 0.0000 1

***

# Ce7In2 PBE optimized geometry
# Energy relative to the lowest polymorph listed for this composition: 0.0 meV/atom
# V: 26.9 Å³/atom
# Spin magnetization: 5.16 Bohr magnetons per cell
data_Ce7In2
_chemical_formula_sum 'Ce7 In2'
_symmetry_space_group_name_H-M 'P -3 m 1'
_symmetry_Int_Tables_number 164
_symmetry_space_group_name_Hall '-P 3 2"'
_cell_length_a 5.3948
_cell_length_b 5.3948
_cell_length_c 9.5885
_cell_angle_alpha 90.00
_cell_angle_beta 90.00
_cell_angle_gamma 120.00
loop_
_atom_site_label
_atom_site_type_symbol
_atom_site_fract_x
_atom_site_fract_y
_atom_site_fract_z
_atom_site_occupancy
Ce1 Ce 0.0000 0.0000 0.0000 1
Ce2 Ce 0.0000 0.0000 0.3640 1
Ce3 Ce 0.3333 0.6667 0.1183 1
Ce4 Ce 0.3333 0.6667 0.4106 1
In1 In 0.3333 0.6667 0.7684 1

***

# Ce3Be2Rh5 PBE optimized geometry
# V: 16.9 Å³/atom
# Calculated total energy: -6.93 eV per atom
# Spin magnetization: 1.78 Bohr magnetons per cell
data_Ce3Be2Rh5
_chemical_formula_sum 'Ce6 Be4 Rh10'
_symmetry_space_group_name_H-M 'P 4/m b m'
_symmetry_Int_Tables_number 127
_symmetry_space_group_name_Hall '-P 4 2ab'
_cell_length_a 9.8158
_cell_length_b 9.8158
_cell_length_c 3.4998
_cell_angle_alpha 90.00
_cell_angle_beta 90.00
_cell_angle_gamma 90.00
loop_
_atom_site_label
_atom_site_type_symbol
_atom_site_fract_x
_atom_site_fract_y
_atom_site_fract_z
_atom_site_occupancy
Ce1 Ce 0.0000 0.0000 0.0000 1
Ce2 Ce 0.1723 0.3277 0.0000 1
Be1 Be 0.1203 0.6203 0.0000 1
Rh1 Rh 0.0000 0.5000 0.5000 1
Rh2 Rh 0.0733 0.7793 0.5000 1

***

# CeErSb PBE optimized geometry
# V: 31.2 Å³/atom
# Formation energy without anion corrections: -484 meV/atom
# Spin magnetization: 3.18 Bohr magnetons per cell
data_CeErSb
_chemical_formula_sum 'Ce2 Er2 Sb2'
_symmetry_space_group_name_H-M 'P m c 21'
_symmetry_Int_Tables_number 26
_cell_length_a 4.0566
_cell_length_b 6.9212
_cell_length_c 6.6658
_cell_angle_alpha 90.00
_cell_angle_beta 90.00
_cell_angle_gamma 90.00
loop_
_symmetry_equiv_pos_as_xyz
'x,y,z'
'-x,-y,z+1/2'
'-x,y,z'
'x,-y,z+1/2'
loop_
_atom_site_label
_atom_site_type_symbol
_atom_site_fract_x
_atom_site_fract_y
_atom_site_fract_z
_atom_site_occupancy
Ce1 Ce 0.0000 0.0603 0.0000 1
Er1 Er 0.0000 0.4354 0.6320 1
Sb1 Sb 0.5000 0.2656 0.3160 1

***

# CuReNi2 PBE optimized geometry
# Energy relative to the lowest polymorph listed for this composition: 227.7 meV/atom
# V: 12.2 Å³/atom
# Spin magnetization: 0.00 Bohr magnetons per cell
data_CuReNi2
_chemical_formula_sum 'Cu4 Re4 Ni8'
_symmetry_space_group_name_H-M 'F m -3 m'
_symmetry_Int_Tables_number 225
_symmetry_space_group_name_Hall '-F 4 2 3'
_cell_length_a 5.7940
_cell_length_b 5.7940
_cell_length_c 5.7940
_cell_angle_alpha 90.00
_cell_angle_beta 90.00
_cell_angle_gamma 90.00
loop_
_atom_site_label
_atom_site_type_symbol
_atom_site_fract_x
_atom_site_fract_y
_atom_site_fract_z
_atom_site_occupancy
Cu1 Cu 0.0000 0.0000 0.0000 1
Re1 Re 0.0000 0.0000 0.5000 1
Ni1 Ni 0.2500 0.2500 0.2500 1